# 1
Entry from the Alexandria database: crystalline KZrCo2 at its relaxed geometry (PBE).

```
KZrCo2
1.0
0.000 3.316 3.316
3.316 0.000 3.316
3.316 3.316 0.000
K Zr Co
1 1 2
Direct
0.000 0.000 0.000
0.500 0.500 0.500
0.250 0.250 0.250
0.750 0.750 0.750
```

- DOS at the Fermi energy: 0.855 states/eV/atom
- Crystal system: cubic
- Energy of formation from the pure elements: 3.71 eV/f.u.
- ΔE to the lowest computed polymorph: 527 meV per atom

***

# 2
Entry from the Alexandria database: crystalline Cd4Bi2H3 at its relaxed geometry (PBE).

```
Cd4Bi2H3
1.0
3.281 0.000 0.000
-1.329 5.778 0.000
-0.221 -0.646 10.024
Cd Bi H
4 2 3
Direct
0.135 0.287 0.201
0.298 0.259 0.572
0.702 0.741 0.428
0.865 0.713 0.799
0.126 0.239 0.857
0.874 0.761 0.143
0.225 0.371 0.399
0.500 0.000 0.500
0.775 0.629 0.601
```

- Total energy: -2.1678 eV/atom
- DOS at the Fermi energy: 0.090 states/eV/atom
- Crystal system: triclinic